# TlAuBr3 (PBE, optimized geometry)
data_TlAuBr3
_chemical_formula_sum 'Tl4 Au4 Br12'
_cell_length_a 9.6558
_cell_length_b 8.1230
_cell_length_c 10.5238
_cell_angle_alpha 90.00
_cell_angle_beta 122.68
_cell_angle_gamma 90.00
_space_group_name_H-M_alt 'P 1'
_space_group_IT_number 1
loop_
_space_group_symop_operation_xyz
'x,y,z'
loop_
_atom_site_label
_atom_site_type_symbol
_atom_site_fract_x
_atom_site_fract_y
_atom_site_fract_z
Tl1 Tl 0.1673 0.2156 0.1010
Tl2 Tl 0.1673 0.2844 0.6010
Tl3 Tl 0.8327 0.7156 0.3990
Tl4 Tl 0.8327 0.7844 0.8990
Au1 Au 0.2952 0.6930 0.3744
Au2 Au 0.2952 0.8070 0.8744
Au3 Au 0.7048 0.1930 0.1256
Au4 Au 0.7048 0.3070 0.6256
Br1 Br 0.0246 0.5519 0.2293
Br2 Br 0.0246 0.9481 0.7293
Br3 Br 0.2709 0.7133 0.6173
Br4 Br 0.2709 0.7867 0.1173
Br5 Br 0.4138 0.2181 0.4762
Br6 Br 0.4138 0.2819 0.9762
Br7 Br 0.5862 0.7181 0.0238
Br8 Br 0.5862 0.7819 0.5238
Br9 Br 0.7291 0.2133 0.8827
Br10 Br 0.7291 0.2867 0.3827
Br11 Br 0.9754 0.0519 0.2707
Br12 Br 0.9754 0.4481 0.7707
# **Uncorrected energy**: -2.556 eV per atom

# Tl2AuBr3 (PBE, optimized geometry)
data_Tl2AuBr3
_chemical_formula_sum 'Tl4 Au2 Br6'
_cell_length_a 7.8697
_cell_length_b 7.8697
_cell_length_c 8.7656
_cell_angle_alpha 109.61
_cell_angle_beta 109.61
_cell_angle_gamma 66.83
_space_group_name_H-M_alt 'P 1'
_space_group_IT_number 1
loop_
_space_group_symop_operation_xyz
'x,y,z'
loop_
_atom_site_label
_atom_site_type_symbol
_atom_site_fract_x
_atom_site_fract_y
_atom_site_fract_z
Tl1 Tl 0.0557 0.6837 0.8694
Tl2 Tl 0.3163 0.9443 0.6306
Tl3 Tl 0.6837 0.0557 0.3694
Tl4 Tl 0.9443 0.3163 0.1306
Au1 Au 0.4689 0.5311 0.7500
Au2 Au 0.5311 0.4689 0.2500
Br1 Br 0.0751 0.9249 0.2500
Br2 Br 0.2866 0.3395 0.5317
Br3 Br 0.3395 0.2866 0.0317
Br4 Br 0.6605 0.7134 0.9683
Br5 Br 0.7134 0.6605 0.4683
Br6 Br 0.9249 0.0751 0.7500
# **Uncorrected energy**: -2.772 eV per atom

# TlAuBr (PBE, optimized geometry)
data_TlAuBr
_chemical_formula_sum 'Tl1 Au1 Br1'
_cell_length_a 4.2617
_cell_length_b 4.2617
_cell_length_c 5.4461
_cell_angle_alpha 90.00
_cell_angle_beta 90.00
_cell_angle_gamma 120.00
_space_group_name_H-M_alt 'P 1'
_space_group_IT_number 1
loop_
_space_group_symop_operation_xyz
'x,y,z'
loop_
_atom_site_label
_atom_site_type_symbol
_atom_site_fract_x
_atom_site_fract_y
_atom_site_fract_z
Tl1 Tl 0.0000 0.0000 0.0000
Au1 Au 0.6667 0.3333 0.2673
Br1 Br 0.3333 0.6667 0.5721
# **Offset from the most stable computed form**: 36.9 meV per atom

# TlAu2Br (PBE, optimized geometry)
data_TlAu2Br
_chemical_formula_sum 'Tl2 Au4 Br2'
_cell_length_a 6.4275
_cell_length_b 6.4275
_cell_length_c 6.4275
_cell_angle_alpha 103.16
_cell_angle_beta 103.16
_cell_angle_gamma 123.00
_space_group_name_H-M_alt 'P 1'
_space_group_IT_number 1
loop_
_space_group_symop_operation_xyz
'x,y,z'
loop_
_atom_site_label
_atom_site_type_symbol
_atom_site_fract_x
_atom_site_fract_y
_atom_site_fract_z
Tl1 Tl 0.0000 0.0000 0.0000
Tl2 Tl 0.7500 0.2500 0.5000
Au1 Au 0.1245 0.6250 0.9995
Au2 Au 0.3750 0.3745 0.4995
Au3 Au 0.6255 0.1250 0.0005
Au4 Au 0.8750 0.8755 0.5005
Br1 Br 0.2500 0.7500 0.5000
Br2 Br 0.5000 0.5000 0.0000
# **Offset from the most stable computed form**: 217.0 meV per atom

# Tl2AuBr2 (PBE, optimized geometry)
data_Tl2AuBr2
_chemical_formula_sum 'Tl2 Au1 Br2'
_cell_length_a 6.1941
_cell_length_b 6.1941
_cell_length_c 6.1941
_cell_angle_alpha 118.94
_cell_angle_beta 118.94
_cell_angle_gamma 91.85
_space_group_name_H-M_alt 'P 1'
_space_group_IT_number 1
loop_
_space_group_symop_operation_xyz
'x,y,z'
loop_
_atom_site_label
_atom_site_type_symbol
_atom_site_fract_x
_atom_site_fract_y
_atom_site_fract_z
Tl1 Tl 0.1815 0.1815 0.0000
Tl2 Tl 0.8185 0.8185 0.0000
Au1 Au 0.5000 0.5000 0.0000
Br1 Br 0.2500 0.7500 0.5000
Br2 Br 0.7500 0.2500 0.5000
# **Offset from the most stable computed form**: 77.1 meV per atom

# Tl2Au2Br5 (PBE, optimized geometry)
data_Tl2Au2Br5
_chemical_formula_sum 'Tl4 Au4 Br10'
_cell_length_a 11.2504
_cell_length_b 11.2504
_cell_length_c 11.2504
_cell_angle_alpha 59.15
_cell_angle_beta 138.16
_cell_angle_gamma 140.15
_space_group_name_H-M_alt 'P 1'
_space_group_IT_number 1
loop_
_space_group_symop_operation_xyz
'x,y,z'
loop_
_atom_site_label
_atom_site_type_symbol
_atom_site_fract_x
_atom_site_fract_y
_atom_site_fract_z
Tl1 Tl 0.0345 0.1059 0.1404
Tl2 Tl 0.0345 0.3941 0.4286
Tl3 Tl 0.9655 0.6059 0.5714
Tl4 Tl 0.9655 0.8941 0.8596
Au1 Au 0.3619 0.6315 0.2304
Au2 Au 0.4011 0.1315 0.7696
Au3 Au 0.5243 0.0243 0.5000
Au4 Au 0.5243 0.5243 0.0000
Br1 Br 0.0259 0.2826 0.7707
Br2 Br 0.0259 0.7551 0.2432
Br3 Br 0.1922 0.8187 0.8735
Br4 Br 0.4947 0.1927 0.5817
Br5 Br 0.4947 0.4131 0.8020
Br6 Br 0.5119 0.2551 0.2293
Br7 Br 0.5119 0.7826 0.7568
Br8 Br 0.6111 0.6927 0.1980
Br9 Br 0.6111 0.9131 0.4183
Br10 Br 0.9452 0.3187 0.1265
# **Uncorrected energy**: -2.566 eV per atom

# Tl4Au3Br12 (PBE, optimized geometry)
data_Tl4Au3Br12
_chemical_formula_sum 'Tl4 Au3 Br12'
_cell_length_a 10.0994
_cell_length_b 10.0994
_cell_length_c 10.0994
_cell_angle_alpha 109.47
_cell_angle_beta 109.47
_cell_angle_gamma 109.47
_space_group_name_H-M_alt 'P 1'
_space_group_IT_number 1
loop_
_space_group_symop_operation_xyz
'x,y,z'
loop_
_atom_site_label
_atom_site_type_symbol
_atom_site_fract_x
_atom_site_fract_y
_atom_site_fract_z
Tl1 Tl 0.0000 0.0000 0.5000
Tl2 Tl 0.0000 0.5000 0.0000
Tl3 Tl 0.5000 0.0000 0.0000
Tl4 Tl 0.5000 0.5000 0.5000
Au1 Au 0.0000 0.5000 0.5000
Au2 Au 0.5000 0.0000 0.5000
Au3 Au 0.5000 0.5000 0.0000
Br1 Br 0.1521 0.4988 0.3467
Br2 Br 0.1521 0.8054 0.6533
Br3 Br 0.1946 0.3467 0.8479
Br4 Br 0.3467 0.1521 0.4988
Br5 Br 0.3467 0.8479 0.1946
Br6 Br 0.4988 0.3467 0.1521
Br7 Br 0.5012 0.6533 0.8479
Br8 Br 0.6533 0.1521 0.8054
Br9 Br 0.6533 0.8479 0.5012
Br10 Br 0.8054 0.6533 0.1521
Br11 Br 0.8479 0.1946 0.3467
Br12 Br 0.8479 0.5012 0.6533
# **Uncorrected energy**: -2.507 eV per atom

# Tl2AuBr2 (PBE, optimized geometry)
data_Tl2AuBr2
_chemical_formula_sum 'Tl4 Au2 Br4'
_cell_length_a 7.9940
_cell_length_b 7.9940
_cell_length_c 4.8611
_cell_angle_alpha 90.00
_cell_angle_beta 90.00
_cell_angle_gamma 90.00
_space_group_name_H-M_alt 'P 1'
_space_group_IT_number 1
loop_
_space_group_symop_operation_xyz
'x,y,z'
loop_
_atom_site_label
_atom_site_type_symbol
_atom_site_fract_x
_atom_site_fract_y
_atom_site_fract_z
Tl1 Tl 0.1834 0.3166 0.0000
Tl2 Tl 0.3166 0.8166 0.0000
Tl3 Tl 0.6834 0.1834 0.0000
Tl4 Tl 0.8166 0.6834 0.0000
Au1 Au 0.0000 0.0000 0.0000
Au2 Au 0.5000 0.5000 0.0000
Br1 Br 0.1528 0.6528 0.5000
Br2 Br 0.3472 0.1528 0.5000
Br3 Br 0.6528 0.8472 0.5000
Br4 Br 0.8472 0.3472 0.5000
# **Offset from the most stable computed form**: 0.0 meV per atom

# TlAuBr6 (PBE, optimized geometry)
data_TlAuBr6
_chemical_formula_sum 'Tl1 Au1 Br6'
_cell_length_a 6.6565
_cell_length_b 6.6565
_cell_length_c 8.5362
_cell_angle_alpha 91.94
_cell_angle_beta 91.94
_cell_angle_gamma 100.57
_space_group_name_H-M_alt 'P 1'
_space_group_IT_number 1
loop_
_space_group_symop_operation_xyz
'x,y,z'
loop_
_atom_site_label
_atom_site_type_symbol
_atom_site_fract_x
_atom_site_fract_y
_atom_site_fract_z
Tl1 Tl 0.0000 0.0000 0.0000
Au1 Au 0.0000 0.0000 0.5000
Br1 Br 0.0697 0.7287 0.3163
Br2 Br 0.2713 0.9303 0.6837
Br3 Br 0.3939 0.3939 0.9041
Br4 Br 0.6061 0.6061 0.0959
Br5 Br 0.7287 0.0697 0.3163
Br6 Br 0.9303 0.2713 0.6837
# **Offset from the most stable computed form**: 18.6 meV per atom

# Tl2VAuBr6 (PBE, optimized geometry)
data_Tl2VAuBr6
_chemical_formula_sum 'Tl2 V1 Au1 Br6'
_cell_length_a 7.5655
_cell_length_b 7.5953
_cell_length_c 7.6319
_cell_angle_alpha 61.08
_cell_angle_beta 62.46
_cell_angle_gamma 89.21
_space_group_name_H-M_alt 'P 1'
_space_group_IT_number 1
loop_
_space_group_symop_operation_xyz
'x,y,z'
loop_
_atom_site_label
_atom_site_type_symbol
_atom_site_fract_x
_atom_site_fract_y
_atom_site_fract_z
Tl1 Tl 0.0000 0.0000 0.0000
Tl2 Tl 0.3828 0.5074 0.1103
V1 V 0.7288 0.2378 0.5034
Au1 Au 0.1992 0.7239 0.7776
Br1 Br 0.0241 0.0743 0.4109
Br2 Br 0.4238 0.3942 0.5618
Br3 Br 0.5411 0.9709 0.4700
Br4 Br 0.5742 0.0005 0.9340
Br5 Br 0.8647 0.4602 0.0418
Br6 Br 0.9363 0.5246 0.4597
# **Uncorrected energy**: -3.401 eV per atom